1.
11
Lattice="-2.986 -1.501 -2.912 0.470 -6.534 1.032 -4.472 -2.669 4.107" Properties=species:S:1:pos:R:3 comment="Ni2IrRh8 (PBE-GGA, optimized geometry)" magmom_total_mub_per_fu=0.006 dft_energy_ev_per_atom=-6.76 e_form_ev_per_fu=4.83 pbc="T T T"
Rh -3.394 -7.276 3.693
Rh -4.573 -6.916 1.346
Rh -2.415 -3.788 0.881
Rh -3.125 -5.836 -0.689
Rh -1.993 -6.331 1.752
Rh -3.594 -3.428 -1.466
Rh -3.863 -4.868 2.916
Rh -4.995 -4.373 0.475
Ni -1.816 -1.731 -0.741
Ni -5.172 -8.973 2.968
Ir 0.000 0.000 0.000



2.
11
Lattice="-5.787 0.741 2.653 0.498 -4.884 0.842 2.722 1.192 3.997" Properties=species:S:1:pos:R:3 comment="Ni2Ir2Rh7 (PBE-GGA, optimized geometry)" magmom_total_mub_per_fu=0.004 dft_energy_ev_per_atom=-7.15 e_form_ev_per_fu=2.05 pbc="T T T"
Ir -1.960 -0.284 1.929
Ir -0.607 -2.667 5.563
Ni -0.871 -0.349 4.331
Ni -1.696 -2.602 3.161
Rh 0.737 -3.678 3.453
Rh -2.967 -1.602 5.177
Rh -3.305 0.727 4.039
Rh 0.000 0.000 0.000
Rh 1.580 -1.377 4.648
Rh -4.147 -1.574 2.844
Rh 0.400 -1.348 2.315



3.
11
Lattice="-1.176 -1.750 3.596 4.594 -6.344 2.365 6.170 -2.584 4.710" Properties=species:S:1:pos:R:3 comment="Ni8IrRh2 (PBE-GGA, optimized geometry)" magmom_total_mub_per_fu=8.013 dft_energy_ev_per_atom=-6.15 e_form_ev_per_fu=2.14 pbc="T T T"
Ni 3.268 -5.765 4.631
Ni 4.075 -3.841 5.831
Ni 5.513 -6.837 4.840
Ni 5.285 -6.707 7.199
Ni 8.591 -7.837 6.788
Ni 4.303 -3.971 3.473
Ni 0.997 -2.841 3.884
Ni 6.320 -4.913 6.041
Rh 2.712 -2.535 2.241
Rh 6.877 -8.143 8.431
Ir 0.000 0.000 0.000



4.
12
Lattice="-0.983 2.843 -2.345 -3.304 0.395 1.864 4.880 7.510 7.059" Properties=species:S:1:pos:R:3 comment="Ni2IrRh9 (PBE-GGA, optimized geometry)" magmom_total_mub_per_fu=3.095 dft_energy_ev_per_atom=-7.19 e_form_ev_per_fu=0.30 pbc="T T T"
Rh 0.788 3.953 4.461
Rh 2.405 6.440 6.799
Rh 0.332 2.689 0.019
Rh -0.513 4.127 2.117
Rh 1.949 5.176 2.357
Rh 1.107 6.621 4.460
Rh -2.143 1.619 -0.241
Rh -0.828 1.465 2.123
Rh 3.565 7.664 4.695
Ir 0.000 0.000 0.000
Ni 1.646 2.534 2.381
Ni 3.234 4.977 4.677



5.
4
Lattice="-1.975 -0.603 -3.948 -1.502 -4.194 -0.034 -0.578 3.220 3.025" Properties=species:S:1:pos:R:3 comment="Ni2IrRh (PBE-GGA, optimized geometry)" magmom_total_mub_per_fu=0.000 dft_energy_ev_per_atom=-6.90 e_form_ev_per_fu=0.16 pbc="T T T"
Ni 0.000 0.000 0.000
Ni -1.738 -2.398 -1.991
Ir -2.146 0.109 -1.457
Rh -1.909 -1.687 0.500



6.
9
Lattice="-0.232 -3.209 -3.334 6.825 -4.282 0.514 -5.650 0.538 1.968" Properties=species:S:1:pos:R:3 comment="Ni2Ir2Rh5 (PBE-GGA, optimized geometry)" magmom_total_mub_per_fu=0.437 dft_energy_ev_per_atom=-7.32 e_form_ev_per_fu=0.18 pbc="T T T"
Ir -2.290 -0.960 1.073
Ir 3.234 -5.993 -1.925
Ni -3.510 -3.034 -0.095
Ni 4.454 -3.919 -0.757
Rh -0.163 -4.506 -0.996
Rh -1.291 -2.069 -1.110
Rh 1.107 -2.447 0.144
Rh 0.000 0.000 0.000
Rh 2.235 -4.884 0.258